[1]
Computed, not measured: a geometry-optimized GdYHgSb structure at the PBE level of DFT.

The space group is F-43m (No. 216) and the conventional cell measures 7.538, 7.538 and 7.538 Å, with angles of 90.00, 90.00 and 90.00 degrees. The inequivalent atoms are Gd at (0.000, 0.000, 0.000), Y at (0.000, 0.000, 0.500), Hg at (0.250, 0.250, 0.250) and Sb at (0.250, 0.250, 0.750).

Its density is 8.82 g cm⁻³. The calculation puts the spin magnetization at 7.8 μB/f.u. As for the formation energy without anion corrections: -649 meV per atom. Its total energy is -110.27 eV per cell.

[2]
Computed, not measured: a geometry-optimized GdScHg structure at the PBE level of DFT.

The space group is I4mm (No. 107) and the conventional cell measures 3.524, 3.524 and 12.446 Å, with angles of 90.00, 90.00 and 90.00 degrees. The inequivalent atoms are Gd at (0.000, 0.000, 0.000), Sc at (0.000, 0.000, 0.690) and Hg at (0.000, 0.000, 0.325).

As for the energy above the most stable polymorph in this dataset: 0.000 eV per atom. Its density is 8.66 g cm⁻³. The calculation puts the spin magnetization at 8.3 μB/f.u. The calculation puts the energy of formation at -0.29 eV/atom. Its total energy is -43.19 eV per cell.